No. 1
Computed, not measured: crystalline NbTcPS2 at its relaxed geometry at the PBE level of DFT.

Unit cell a=4.7278 b=4.7278 c=4.9702 alpha=90.00 beta=90.00 gamma=90.00
Fractional positions:
S1 0.0000 0.5000 0.0000
S2 0.5000 0.0000 0.0000
P1 0.0000 0.0000 0.5000
Nb1 0.0000 0.0000 0.0000
Tc1 0.5000 0.5000 0.5000

Computed properties:
crystal system = tetragonal
formation energy (no corrections) = 3.040 eV per formula unit
ΔE to the lowest computed polymorph = 0.0 meV per atom
magnetization = 0.90 μB per atom
symmetry = P4/mmm

No. 2
Computed, not measured: crystalline NbTePS2 at its relaxed geometry at the PBE level of DFT.

Unit cell a=4.6944 b=4.6944 c=5.2089 alpha=90.00 beta=90.00 gamma=90.00
Fractional positions:
P1 0.0000 0.0000 0.5000
Nb1 0.0000 0.0000 0.0000
Te1 0.5000 0.5000 0.5000
S1 0.0000 0.5000 0.0000
S2 0.5000 0.0000 0.0000

Computed properties:
crystal system = tetragonal
formation energy (no corrections) = 0.499 eV per formula unit
ΔE to the lowest computed polymorph = 0.0 meV per atom
magnetization = 0.00 μB per atom
symmetry = P4/mmm

No. 3
Computed, not measured: crystalline NbTePS at its relaxed geometry at the PBE level of DFT.

Unit cell a=3.4115 b=3.4096 c=8.9060 alpha=100.45 beta=91.79 gamma=120.04
Fractional positions:
Nb1 0.9935 0.4536 0.8957
Te1 0.5265 0.4410 0.3614
P1 0.4033 0.2434 0.0754
S1 0.2517 0.9991 0.7177

Computed properties:
crystal system = triclinic
formation energy (no corrections) = -2.009 eV per formula unit
ΔE to the lowest computed polymorph = 0.0 meV per atom
magnetization = 0.00 μB per atom
symmetry = P1

No. 4
Computed, not measured: crystalline NbTePS at its relaxed geometry at the PBE level of DFT.

Unit cell a=3.9681 b=3.2745 c=7.9838 alpha=90.00 beta=95.89 gamma=90.00
Fractional positions:
Nb1 0.0930 0.5000 0.0241
Te1 0.9857 0.5000 0.6815
P1 0.5773 0.0000 0.0029
S1 0.3574 0.0000 0.2413

Computed properties:
crystal system = monoclinic
formation energy (no corrections) = -1.328 eV per formula unit
ΔE to the lowest computed polymorph = 170.2 meV per atom
magnetization = 0.00 μB per atom
symmetry = Pm

No. 5
Computed, not measured: crystalline NbTePS at its relaxed geometry at the PBE level of DFT.

Unit cell a=3.2934 b=3.4046 c=15.1621 alpha=90.00 beta=90.00 gamma=90.00
Fractional positions:
Nb1 0.0000 0.0000 0.4704
Nb2 0.0000 0.5000 0.9704
Te1 0.0000 0.0000 0.6632
Te2 0.0000 0.5000 0.1632
P1 0.5000 0.0000 0.0396
P2 0.5000 0.5000 0.5396
S1 0.5000 0.0000 0.3519
S2 0.5000 0.5000 0.8519

Computed properties:
crystal system = orthorhombic
formation energy (no corrections) = -1.493 eV per formula unit
ΔE to the lowest computed polymorph = 129.0 meV per atom
magnetization = 0.00 μB per atom
symmetry = Amm2

No. 6
Computed, not measured: crystalline NbTePS2 at its relaxed geometry at the PBE level of DFT.

Unit cell a=4.8714 b=4.8714 c=4.9852 alpha=90.00 beta=90.00 gamma=90.00
Fractional positions:
P1 0.0000 0.0000 0.5000
Nb1 0.5000 0.5000 0.5000
Te1 0.0000 0.0000 0.0000
S1 0.0000 0.5000 0.0000
S2 0.5000 0.0000 0.0000

Computed properties:
crystal system = tetragonal
formation energy (no corrections) = 6.331 eV per formula unit
ΔE to the lowest computed polymorph = 1166.3 meV per atom
magnetization = 0.00 μB per atom
symmetry = P4/mmm

No. 7
Computed, not measured: crystalline NbTePS at its relaxed geometry at the PBE level of DFT.

Unit cell a=3.3567 b=4.6780 c=7.2586 alpha=79.92 beta=76.81 gamma=68.99
Fractional positions:
Nb1 0.8657 0.1090 0.9683
Te1 0.2617 0.9765 0.3132
P1 0.5484 0.6734 0.0389
S1 0.3989 0.2779 0.7298

Computed properties:
crystal system = triclinic
formation energy (no corrections) = -1.548 eV per formula unit
ΔE to the lowest computed polymorph = 115.2 meV per atom
magnetization = 0.00 μB per atom
symmetry = P1

No. 8
Computed, not measured: crystalline NbTePS at its relaxed geometry at the PBE level of DFT.

Unit cell a=3.3175 b=3.3175 c=26.1926 alpha=90.00 beta=90.00 gamma=120.00
Fractional positions:
Nb1 0.0000 0.0000 0.7015
Nb2 0.3333 0.6667 0.3682
Nb3 0.6667 0.3333 0.0349
Te1 0.0000 0.0000 0.2179
Te2 0.3333 0.6667 0.8846
Te3 0.6667 0.3333 0.5513
P1 0.0000 0.0000 0.9693
P2 0.3333 0.6667 0.6360
P3 0.6667 0.3333 0.3026
S1 0.0000 0.0000 0.4278
S2 0.3333 0.6667 0.0945
S3 0.6667 0.3333 0.7612

Computed properties:
crystal system = trigonal
formation energy (no corrections) = -1.570 eV per formula unit
ΔE to the lowest computed polymorph = 109.7 meV per atom
magnetization = 0.00 μB per atom
symmetry = R3m